Compound: Be3Zn4
Source: the Open Quantum Materials Database
Functional: PBE-GGA
Structure: relaxed

Unit cell a=6.873 b=6.873 c=3.997 alpha=90.00 beta=90.00 gamma=60.00
Positions (direct):
Be 0.273 0.292 0.000
Be 0.863 0.579 0.000
Be 0.150 0.701 0.000
Be 0.251 0.089 0.500
Be 0.374 0.680 0.500
Be 0.661 0.802 0.500
Zn 0.009 0.162 0.000
Zn 0.543 0.438 0.000
Zn 0.429 0.857 0.000
Zn 0.733 0.972 0.000
Zn 0.514 0.219 0.500
Zn 0.791 0.409 0.500
Zn 0.095 0.524 0.500
Zn 0.980 0.943 0.500

Summary:
- calculated density (Mg/m³) = 5.862
- DFT total energy (eV per atom) = -2.17



Compound: Rb2IrPdCl6
Source: the Open Quantum Materials Database
Functional: PBE-GGA
Structure: relaxed

Unit cell a=7.043 b=7.043 c=7.043 alpha=60.00 beta=60.00 gamma=60.00
Last column: magnetic moment on the atom in μB.
Positions (direct):
Cl 0.759 0.241 0.241  0.02
Cl 0.241 0.759 0.241  0.02
Cl 0.759 0.759 0.241  0.03
Cl 0.241 0.241 0.759  0.03
Cl 0.759 0.241 0.759  0.02
Cl 0.241 0.759 0.759  0.02
Ir 0.000 0.000 0.000  0.21
Pd 0.500 0.500 0.500  0.26
Rb 0.250 0.250 0.250  0.00
Rb 0.750 0.750 0.750  0.00

Summary:
- calculated density (Mg/m³) = 4.586
- DFT total energy (eV per atom) = -3.66



Compound: HgBiTe
Source: the Open Quantum Materials Database
Functional: PBE-GGA
Structure: relaxed

Unit cell a=5.292 b=5.292 c=5.292 alpha=60.00 beta=60.00 gamma=60.00
Positions (direct):
Bi 0.250 0.250 0.250
Hg 0.750 0.750 0.750
Te 0.000 0.000 0.000

Summary:
- calculated density (Mg/m³) = 8.513
- DFT total energy (eV per atom) = -2.28



Compound: Sr2CuP2Pd
Source: the Open Quantum Materials Database
Functional: PBE-GGA
Structure: relaxed

Unit cell a=4.136 b=4.136 c=8.775 alpha=90.00 beta=90.00 gamma=120.00
Positions (direct):
Cu 0.667 0.333 0.000
P 0.000 0.000 0.000
P 0.667 0.333 0.500
Pd 0.000 0.000 0.500
Sr 0.333 0.667 0.250
Sr 0.333 0.667 0.750

Summary:
- calculated density (Mg/m³) = 5.201
- DFT total energy (eV per atom) = -4.77



Compound: GaPt15
Source: the Open Quantum Materials Database
Functional: PBE-GGA
Structure: relaxed

Unit cell a=3.935 b=3.937 c=45.503 alpha=90.00 beta=90.00 gamma=90.00
Positions (direct):
Ga 0.000 0.000 0.170
Ga 0.500 0.000 0.830
Pt 0.500 0.500 0.169
Pt 0.500 0.000 0.212
Pt 0.000 0.500 0.212
Pt 0.500 0.500 0.256
Pt 0.000 0.000 0.257
Pt 0.000 0.500 0.301
Pt 0.500 0.000 0.301
Pt 0.000 0.000 0.345
Pt 0.500 0.500 0.346
Pt 0.500 0.000 0.390
Pt 0.000 0.500 0.390
Pt 0.500 0.500 0.434
Pt 0.000 0.000 0.434
Pt 0.000 0.500 0.478
Pt 0.500 0.000 0.478
Pt 0.000 0.000 0.522
Pt 0.500 0.500 0.522
Pt 0.500 0.000 0.566
Pt 0.000 0.500 0.566
Pt 0.500 0.500 0.610
Pt 0.000 0.000 0.610
Pt 0.000 0.500 0.654
Pt 0.500 0.000 0.655
Pt 0.000 0.000 0.699
Pt 0.500 0.500 0.699
Pt 0.500 0.000 0.743
Pt 0.000 0.500 0.744
Pt 0.500 0.500 0.788
Pt 0.000 0.000 0.788
Pt 0.000 0.500 0.831

Summary:
- relative energy among the computed polymorphs (meV per atom) = 0.0
- calculated density (Mg/m³) = 14.117
- DFT total energy (eV per atom) = -5.87



Compound: TbY2In3Pd2Au
Source: the Open Quantum Materials Database
Functional: PBE-GGA
Structure: relaxed

Unit cell a=3.853 b=7.791 c=7.791 alpha=119.92 beta=90.00 gamma=90.00
Positions (direct):
Au 0.500 0.000 0.000
In 0.000 0.732 0.000
In 0.000 0.268 0.268
In 0.000 0.000 0.732
Pd 0.000 0.667 0.334
Pd 0.000 0.334 0.667
Tb 0.500 0.594 0.594
Y 0.500 0.406 0.000
Y 0.500 0.000 0.406

Summary:
- calculated density (Mg/m³) = 8.937
- DFT total energy (eV per atom) = -5.16



Compound: HoPb
Source: the Open Quantum Materials Database
Functional: PBE-GGA
Structure: relaxed

Unit cell a=4.425 b=4.425 c=4.425 alpha=60.00 beta=60.00 gamma=60.00
Positions (direct):
Ho 0.000 0.000 0.000
Pb 0.500 0.500 0.500

Summary:
- calculated density (Mg/m³) = 10.086
- DFT total energy (eV per atom) = -4.45



Compound: NbCoBIr
Source: the Open Quantum Materials Database
Functional: PBE-GGA
Structure: relaxed

Unit cell a=4.184 b=4.184 c=4.184 alpha=60.00 beta=60.00 gamma=60.00
Last column: magnetic moment on the atom in μB.
Positions (direct):
B 0.000 0.000 0.000  0.06
Co 0.750 0.750 0.750  1.53
Ir 0.250 0.250 0.250  0.28
Nb 0.500 0.500 0.500  0.10

Summary:
- relative energy among the computed polymorphs (meV per atom) = 0.0
- calculated density (Mg/m³) = 11.376
- DFT total energy (eV per atom) = -7.98